Record 1
Here is a relaxed K2RbCd9 crystal from Alexandria via LeMat-Bulk. Energies are from PBE-GGA.

Structure (POSCAR):
```
K2RbCd9
1.0
3.1464 1.8166 10.3351
-3.1464 1.8166 10.3351
0.0000 -3.6332 10.3351
K Rb Cd
2 1 9
Cartesian
0.0000 0.0000 4.4813 K
0.0000 0.0000 26.5241 K
0.0000 0.0000 0.0000 Rb
-1.5941 -0.9204 12.9100 Cd
0.0000 0.0000 10.3660 Cd
0.0000 -1.8407 18.0954 Cd
-1.5941 0.9204 18.0954 Cd
0.0000 0.0000 15.5027 Cd
1.5941 -0.9204 12.9100 Cd
0.0000 1.8407 12.9100 Cd
0.0000 0.0000 20.6394 Cd
1.5941 0.9204 18.0954 Cd
```

## Properties
Energy relative to the elements, meV per atom: -72
Total moment, μB per formula unit: 0.00
DFT total energy, eV/cell: -12.257

***

Record 2
Here is a relaxed K3RbCd crystal from Alexandria via LeMat-Bulk. Energies are from PBE-GGA.

Structure (POSCAR):
```
K3RbCd
1.0
6.9997 0.0000 0.0000
0.0000 6.9997 0.0000
0.0000 0.0000 6.9997
K Rb Cd
3 1 1
Cartesian
0.0000 0.0000 3.4998 K
0.0000 3.4998 0.0000 K
3.4998 0.0000 0.0000 K
3.4998 3.4998 3.4998 Rb
0.0000 0.0000 0.0000 Cd
```

## Properties
Energy relative to the elements, meV per atom: 28
Excess energy over the best structure of this formula in the dataset, meV/atom: 25.5
Total moment, μB per formula unit: 0.00
DFT total energy, eV/cell: -5.035

***

Record 3
Here is a relaxed K12Rb3Cd5 crystal from Alexandria via LeMat-Bulk. Energies are from PBE-GGA.

Structure (POSCAR):
```
K12Rb3Cd5
1.0
-11.3850 11.3850 11.3850
11.3850 -11.3850 11.3850
11.3850 11.3850 -11.3850
K Rb Cd
48 12 20
Cartesian
3.0333 -1.0565 1.3430 K
14.0441 7.0355 -6.7490 K
10.3285 -1.3430 3.0333 K
18.1340 -2.6591 4.3495 K
1.3430 3.0333 -1.0565 K
15.7344 4.6360 -2.6591 K
14.4183 1.0565 1.3430 K
14.0441 -4.3495 6.7490 K
7.0355 6.7490 -2.6591 K
10.0419 3.0333 1.0565 K
-1.0565 1.3430 3.0333 K
6.7490 -2.6591 7.0355 K
10.3285 10.0419 -3.0333 K
6.7490 2.6591 4.3495 K
10.0419 -3.0333 10.3285 K
7.0355 -6.7490 14.0441 K
3.0333 10.3285 -1.3430 K
14.0441 4.3495 4.6360 K
4.3495 6.7490 2.6591 K
12.7280 8.3516 1.0565 K
6.7490 14.0441 -4.3495 K
10.3285 1.3430 8.3516 K
2.6591 4.3495 6.7490 K
3.0333 1.0565 10.0419 K
8.3516 10.3285 1.3430 K
8.7258 7.0355 4.6360 K
1.0565 10.0419 3.0333 K
4.6360 -2.6591 15.7344 K
-1.3430 3.0333 10.3285 K
7.0355 4.6360 8.7258 K
-2.6591 7.0355 6.7490 K
8.3516 1.0565 12.7280 K
4.3495 18.1340 -2.6591 K
1.3430 14.4183 1.0565 K
4.6360 8.7258 7.0355 K
1.0565 1.3430 14.4183 K
4.6360 14.0441 4.3495 K
12.4415 10.0419 8.3516 K
1.3430 8.3516 10.3285 K
4.3495 4.6360 14.0441 K
-2.6591 15.7344 4.6360 K
-3.0333 10.3285 10.0419 K
-4.3495 6.7490 14.0441 K
10.0419 8.3516 12.4415 K
-6.7490 14.0441 7.0355 K
1.0565 12.7280 8.3516 K
-2.6591 4.3495 18.1340 K
8.3516 12.4415 10.0419 K
5.6925 2.8462 0.0000 Rb
11.3850 5.6925 -2.8462 Rb
2.8462 0.0000 5.6925 Rb
14.2312 0.0000 5.6925 Rb
0.0000 5.6925 2.8462 Rb
5.6925 -2.8462 11.3850 Rb
5.6925 14.2312 0.0000 Rb
11.3850 5.6925 8.5387 Rb
-2.8462 11.3850 5.6925 Rb
8.5387 11.3850 5.6925 Rb
0.0000 5.6925 14.2312 Rb
5.6925 8.5387 11.3850 Rb
0.0000 0.0000 0.0000 Cd
5.6925 5.6925 -5.6925 Cd
5.6925 -5.6925 5.6925 Cd
11.3850 0.0000 0.0000 Cd
17.0775 2.8462 0.0000 Cd
11.3850 -5.6925 8.5387 Cd
8.5387 11.3850 -5.6925 Cd
8.5387 0.0000 5.6925 Cd
5.6925 8.5387 0.0000 Cd
11.3850 5.6925 2.8462 Cd
-5.6925 5.6925 5.6925 Cd
0.0000 11.3850 0.0000 Cd
0.0000 0.0000 11.3850 Cd
5.6925 5.6925 5.6925 Cd
0.0000 5.6925 8.5387 Cd
5.6925 2.8462 11.3850 Cd
2.8462 11.3850 5.6925 Cd
2.8462 0.0000 17.0775 Cd
0.0000 17.0775 2.8462 Cd
-5.6925 8.5387 11.3850 Cd
```

## Properties
Energy relative to the elements, meV per atom: 141
Total moment, μB per formula unit: 0.00
DFT total energy, eV/cell: -71.333

***

Record 4
Here is a relaxed KRb2Cd2 crystal from Alexandria via LeMat-Bulk. Energies are from PBE-GGA.

Structure (POSCAR):
```
KRb2Cd2
1.0
9.5201 0.0000 0.0000
0.0000 9.5201 0.0000
0.0000 0.0000 5.6067
K Rb Cd
2 4 4
Cartesian
0.0000 0.0000 0.0000 K
4.7601 4.7601 0.0000 K
1.6600 3.1000 2.8034 Rb
3.1000 7.8601 2.8034 Rb
6.4201 1.6600 2.8034 Rb
7.8601 6.4201 2.8034 Rb
1.0595 5.8196 0.0000 Cd
3.7006 1.0595 0.0000 Cd
5.8196 8.4606 0.0000 Cd
8.4606 3.7006 0.0000 Cd
```

## Properties
Energy relative to the elements, meV per atom: -23
Excess energy over the best structure of this formula in the dataset, meV/atom: 0.4
Total moment, μB per formula unit: 0.00
DFT total energy, eV/cell: -9.958

***

Record 5
Here is a relaxed K6RbCd6 crystal from Alexandria via LeMat-Bulk. Energies are from PBE-GGA.

Structure (POSCAR):
```
K6RbCd6
1.0
-3.4533 6.1451 6.2728
3.4533 -6.1451 6.2728
3.4533 6.1451 -6.2728
K Rb Cd
6 1 6
Cartesian
3.4533 1.9114 0.0000 K
0.0000 0.0000 2.2025 K
0.0000 3.9368 0.0000 K
0.0000 8.3535 0.0000 K
0.0000 0.0000 10.3431 K
0.0000 4.2337 6.2728 K
0.0000 0.0000 6.2728 Rb
1.7267 3.0726 -3.1364 Cd
1.7267 -3.0726 3.1364 Cd
3.4533 0.0000 3.3129 Cd
-1.7267 3.0726 3.1364 Cd
1.7267 3.0726 3.1364 Cd
0.0000 6.1451 2.9598 Cd
```

## Properties
Energy relative to the elements, meV per atom: -5
Total moment, μB per formula unit: 0.00
DFT total energy, eV/cell: -13.105

***

Record 6
Here is a relaxed KRbCd4 crystal from Alexandria via LeMat-Bulk. Energies are from PBE-GGA.

Structure (POSCAR):
```
KRbCd4
1.0
0.0000 4.5765 4.5765
4.5765 0.0000 4.5765
4.5765 4.5765 0.0000
K Rb Cd
1 1 4
Cartesian
0.0000 0.0000 0.0000 K
2.2882 2.2882 2.2882 Rb
5.7277 3.4253 3.4253 Cd
3.4253 5.7277 3.4253 Cd
3.4253 3.4253 5.7277 Cd
5.7277 5.7277 5.7277 Cd
```

## Properties
Energy relative to the elements, meV per atom: -80
Total moment, μB per formula unit: 0.00
DFT total energy, eV/cell: -6.208

***

Record 7
Here is a relaxed KRbCd3 crystal from Alexandria via LeMat-Bulk. Energies are from PBE-GGA.

Structure (POSCAR):
```
KRbCd3
1.0
6.4394 0.0000 0.0000
0.0000 6.4394 0.0000
0.0000 0.0000 6.4394
K Rb Cd
1 1 3
Cartesian
0.0000 0.0000 0.0000 K
3.2197 3.2197 3.2197 Rb
0.0000 0.0000 3.2197 Cd
0.0000 3.2197 0.0000 Cd
3.2197 0.0000 0.0000 Cd
```

## Properties
Energy relative to the elements, meV per atom: 281
Excess energy over the best structure of this formula in the dataset, meV/atom: 341.4
Total moment, μB per formula unit: 0.00
DFT total energy, eV/cell: -3.404

***

Record 8
Here is a relaxed KRbCd3 crystal from Alexandria via LeMat-Bulk. Energies are from PBE-GGA.

Structure (POSCAR):
```
KRbCd3
1.0
3.0917 -9.7589 0.0000
3.0917 9.7589 0.0000
0.0000 0.0000 6.4026
K Rb Cd
2 2 6
Cartesian
3.0917 8.4560 4.8020 K
3.0917 -8.4560 1.6007 K
3.0917 4.0696 1.6007 Rb
3.0917 -4.0696 4.8020 Rb
1.5347 2.1690 4.8020 Cd
1.5347 -2.1690 1.6007 Cd
3.0917 0.0000 0.0000 Cd
3.0917 0.0000 3.2013 Cd
4.6486 2.1690 4.8020 Cd
4.6486 -2.1690 1.6007 Cd
```

## Properties
Energy relative to the elements, meV per atom: -60
Excess energy over the best structure of this formula in the dataset, meV/atom: 0.0
Total moment, μB per formula unit: 0.00
DFT total energy, eV/cell: -10.222

***

Record 9
Here is a relaxed K6Rb3Cd2 crystal from Alexandria via LeMat-Bulk. Energies are from PBE-GGA.

Structure (POSCAR):
```
K6Rb3Cd2
1.0
-3.3720 3.3720 16.4508
3.3720 -3.3720 16.4508
3.3720 3.3720 -16.4508
K Rb Cd
6 3 2
Cartesian
3.3720 0.0000 2.7826 K
0.0000 0.0000 5.5206 K
3.3720 0.0000 13.6682 K
0.0000 3.3720 2.7826 K
0.0000 0.0000 27.3811 K
0.0000 3.3720 13.6682 K
0.0000 0.0000 10.0050 Rb
0.0000 0.0000 16.4508 Rb
0.0000 0.0000 22.8966 Rb
0.0000 0.0000 1.4423 Cd
0.0000 0.0000 31.4594 Cd
```

## Properties
Energy relative to the elements, meV per atom: 37
Total moment, μB per formula unit: 0.00
DFT total energy, eV/cell: -10.907

***

Record 10
Here is a relaxed KRb12Cd6 crystal from Alexandria via LeMat-Bulk. Energies are from PBE-GGA.

Structure (POSCAR):
```
KRb12Cd6
1.0
-6.6738 6.6738 6.6738
6.6738 -6.6738 6.6738
6.6738 6.6738 -6.6738
K Rb Cd
1 12 6
Cartesian
0.0000 0.0000 0.0000 K
6.6738 4.1530 -2.6202 Rb
4.0537 0.0000 2.5208 Rb
9.2940 0.0000 2.5208 Rb
2.5208 4.0537 0.0000 Rb
4.1530 -2.6202 6.6738 Rb
0.0000 2.5208 4.0537 Rb
6.6738 4.1530 2.6202 Rb
2.5208 9.2940 0.0000 Rb
4.1530 2.6202 6.6738 Rb
-2.6202 6.6738 4.1530 Rb
2.6202 6.6738 4.1530 Rb
0.0000 2.5208 9.2940 Rb
6.6738 1.4647 0.0000 Cd
6.6738 0.0000 5.2092 Cd
5.2092 6.6738 0.0000 Cd
1.4647 0.0000 6.6738 Cd
0.0000 6.6738 1.4647 Cd
0.0000 5.2092 6.6738 Cd
```

## Properties
Energy relative to the elements, meV per atom: -4
Total moment, μB per formula unit: 0.00
DFT total energy, eV/cell: -18.276

***

Record 11
Here is a relaxed KRb2Cd2 crystal from Alexandria via LeMat-Bulk. Energies are from PBE-GGA.

Structure (POSCAR):
```
KRb2Cd2
1.0
6.3069 -4.0123 0.0000
6.3069 4.0123 0.0000
-2.4619 0.0000 5.0066
K Rb Cd
1 2 2
Cartesian
0.0000 0.0000 0.0000 K
1.7481 0.0000 3.9729 Rb
8.4037 0.0000 1.0336 Rb
5.0759 1.4861 2.5033 Cd
5.0759 -1.4861 2.5033 Cd
```

## Properties
Energy relative to the elements, meV per atom: -24
Excess energy over the best structure of this formula in the dataset, meV/atom: 0.0
Total moment, μB per formula unit: 0.00
DFT total energy, eV/cell: -4.981

***

Record 12
Here is a relaxed K3RbCd8 crystal from Alexandria via LeMat-Bulk. Energies are from PBE-GGA.

Structure (POSCAR):
```
K3RbCd8
1.0
6.3929 0.0000 0.0000
-3.1964 5.5364 0.0000
0.0000 0.0000 10.5482
K Rb Cd
3 1 8
Cartesian
0.0000 0.0000 0.0000 K
0.0000 0.0000 3.9798 K
0.0000 3.6909 9.2821 K
0.0000 3.6909 5.2519 Rb
-1.5929 2.7713 1.9616 Cd
1.5809 0.9127 7.2992 Cd
1.5929 2.7713 1.9616 Cd
0.0000 5.5302 1.9616 Cd
3.1965 1.8455 4.6287 Cd
3.1965 1.8455 9.8808 Cd
4.8120 0.9127 7.2992 Cd
3.1964 3.7110 7.2992 Cd
```

## Properties
Energy relative to the elements, meV per atom: -89
Total moment, μB per formula unit: 0.00
DFT total energy, eV/cell: -12.652